The following is a DFT calculation (PBE) of a relaxed PmHoPuHg crystal.

Output
Mass density = 11.4 Mg/m³
Total energy = -23.67 eV per cell
E_form = 7.0 kJ per mole of atoms

The structure in CIF format:
```
data_PmHoPuHg
_cell_length_a 5.380
_cell_length_b 5.380
_cell_length_c 5.380
_cell_angle_alpha 60.00
_cell_angle_beta 60.00
_cell_angle_gamma 60.00
_symmetry_space_group_name_H-M 'P 1'
_symmetry_Int_Tables_number 1
loop_
_symmetry_equiv_pos_as_xyz
'x,y,z'
loop_
_atom_site_label
_atom_site_type_symbol
_atom_site_fract_x
_atom_site_fract_y
_atom_site_fract_z
Pm1 Pm 0.000 0.000 0.000
Ho1 Ho 0.250 0.250 0.250
Pu1 Pu 0.750 0.750 0.750
Hg1 Hg 0.500 0.500 0.500
```

=====

The following is a DFT calculation (PBE) of a relaxed PmHoHgRh crystal.

Output
Mass density = 10.8 Mg/m³
Total energy = -19.28 eV per cell
E_form = -55.4 kJ per mole of atoms

The structure in CIF format:
```
data_PmHoHgRh
_cell_length_a 5.107
_cell_length_b 5.107
_cell_length_c 5.107
_cell_angle_alpha 60.00
_cell_angle_beta 60.00
_cell_angle_gamma 60.00
_symmetry_space_group_name_H-M 'P 1'
_symmetry_Int_Tables_number 1
loop_
_symmetry_equiv_pos_as_xyz
'x,y,z'
loop_
_atom_site_label
_atom_site_type_symbol
_atom_site_fract_x
_atom_site_fract_y
_atom_site_fract_z
Pm1 Pm 0.000 0.000 0.000
Ho1 Ho 0.500 0.500 0.500
Hg1 Hg 0.250 0.250 0.250
Rh1 Rh 0.750 0.750 0.750
```

=====

The following is a DFT calculation (PBE) of a relaxed PmHoSc2Hg4 crystal.

Output
Mass density = 10.3 Mg/m³
Total energy = -26.70 eV per cell
E_form = -42.2 kJ per mole of atoms

The structure in CIF format:
```
data_PmHoSc2Hg4
_cell_length_a 8.965
_cell_length_b 8.965
_cell_length_c 8.965
_cell_angle_alpha 33.40
_cell_angle_beta 33.40
_cell_angle_gamma 33.40
_symmetry_space_group_name_H-M 'P 1'
_symmetry_Int_Tables_number 1
loop_
_symmetry_equiv_pos_as_xyz
'x,y,z'
loop_
_atom_site_label
_atom_site_type_symbol
_atom_site_fract_x
_atom_site_fract_y
_atom_site_fract_z
Pm1 Pm 0.000 0.000 0.000
Ho1 Ho 0.500 0.500 0.500
Sc1 Sc 0.250 0.250 0.250
Sc2 Sc 0.750 0.750 0.750
Hg1 Hg 0.127 0.127 0.127
Hg2 Hg 0.378 0.378 0.378
Hg3 Hg 0.622 0.622 0.622
Hg4 Hg 0.873 0.873 0.873
```

=====

The following is a DFT calculation (PBE) of a relaxed PmHoSiHg crystal.

Output
Mass density = 9.2 Mg/m³
Total energy = -16.89 eV per cell
Formation energy without anion corrections = -0.46 eV/atom

The structure in CIF format:
```
data_PmHoSiHg
_cell_length_a 5.167
_cell_length_b 5.167
_cell_length_c 5.167
_cell_angle_alpha 60.00
_cell_angle_beta 60.00
_cell_angle_gamma 60.00
_symmetry_space_group_name_H-M 'P 1'
_symmetry_Int_Tables_number 1
loop_
_symmetry_equiv_pos_as_xyz
'x,y,z'
loop_
_atom_site_label
_atom_site_type_symbol
_atom_site_fract_x
_atom_site_fract_y
_atom_site_fract_z
Pm1 Pm 0.000 0.000 0.000
Ho1 Ho 0.500 0.500 0.500
Si1 Si 0.250 0.250 0.250
Hg1 Hg 0.750 0.750 0.750
```

=====

The following is a DFT calculation (PBE) of a relaxed PmSmHoHg crystal.

Output
ΔE to the lowest computed polymorph = 0.197 eV per atom
Mass density = 9.5 Mg/m³
Total energy = -14.48 eV per cell
E_form = -3.1 kJ per mole of atoms

The structure in CIF format:
```
data_PmSmHoHg
_cell_length_a 5.465
_cell_length_b 5.465
_cell_length_c 5.465
_cell_angle_alpha 60.00
_cell_angle_beta 60.00
_cell_angle_gamma 60.00
_symmetry_space_group_name_H-M 'P 1'
_symmetry_Int_Tables_number 1
loop_
_symmetry_equiv_pos_as_xyz
'x,y,z'
loop_
_atom_site_label
_atom_site_type_symbol
_atom_site_fract_x
_atom_site_fract_y
_atom_site_fract_z
Pm1 Pm 0.000 0.000 0.000
Sm1 Sm 0.250 0.250 0.250
Ho1 Ho 0.750 0.750 0.750
Hg1 Hg 0.500 0.500 0.500
```

=====

The following is a DFT calculation (PBE) of a relaxed PmSmHo2Hg4 crystal.

Output
Mass density = 11.2 Mg/m³
Total energy = -23.60 eV per cell
E_form = -45.4 kJ per mole of atoms

The structure in CIF format:
```
data_PmSmHo2Hg4
_cell_length_a 9.207
_cell_length_b 9.207
_cell_length_c 9.207
_cell_angle_alpha 33.55
_cell_angle_beta 33.55
_cell_angle_gamma 33.55
_symmetry_space_group_name_H-M 'P 1'
_symmetry_Int_Tables_number 1
loop_
_symmetry_equiv_pos_as_xyz
'x,y,z'
loop_
_atom_site_label
_atom_site_type_symbol
_atom_site_fract_x
_atom_site_fract_y
_atom_site_fract_z
Pm1 Pm 0.000 0.000 0.000
Sm1 Sm 0.500 0.500 0.500
Ho1 Ho 0.250 0.250 0.250
Ho2 Ho 0.750 0.750 0.750
Hg1 Hg 0.125 0.125 0.125
Hg2 Hg 0.375 0.375 0.375
Hg3 Hg 0.625 0.625 0.625
Hg4 Hg 0.875 0.875 0.875
```

=====

The following is a DFT calculation (PBE) of a relaxed PmSmHoHg crystal.

Output
ΔE to the lowest computed polymorph = 0.000 eV per atom
Mass density = 9.2 Mg/m³
Total energy = -15.27 eV per cell
E_form = -22.1 kJ per mole of atoms

The structure in CIF format:
```
data_PmSmHoHg
_cell_length_a 3.665
_cell_length_b 3.665
_cell_length_c 8.913
_cell_angle_alpha 90.00
_cell_angle_beta 90.00
_cell_angle_gamma 90.00
_symmetry_space_group_name_H-M 'P 1'
_symmetry_Int_Tables_number 1
loop_
_symmetry_equiv_pos_as_xyz
'x,y,z'
loop_
_atom_site_label
_atom_site_type_symbol
_atom_site_fract_x
_atom_site_fract_y
_atom_site_fract_z
Pm1 Pm 0.000 0.000 0.000
Sm1 Sm 0.500 0.500 0.715
Ho1 Ho 0.500 0.500 0.278
Hg1 Hg 0.000 0.000 0.485
```

=====

The following is a DFT calculation (PBE) of a relaxed Tb2PmHoHg4 crystal.

Output
Mass density = 11.3 Mg/m³
Total energy = -23.59 eV per cell
E_form = -45.8 kJ per mole of atoms

The structure in CIF format:
```
data_Tb2PmHoHg4
_cell_length_a 9.208
_cell_length_b 9.208
_cell_length_c 9.208
_cell_angle_alpha 33.43
_cell_angle_beta 33.43
_cell_angle_gamma 33.43
_symmetry_space_group_name_H-M 'P 1'
_symmetry_Int_Tables_number 1
loop_
_symmetry_equiv_pos_as_xyz
'x,y,z'
loop_
_atom_site_label
_atom_site_type_symbol
_atom_site_fract_x
_atom_site_fract_y
_atom_site_fract_z
Tb1 Tb 0.250 0.250 0.250
Tb2 Tb 0.750 0.750 0.750
Pm1 Pm 0.500 0.500 0.500
Ho1 Ho 0.000 0.000 0.000
Hg1 Hg 0.123 0.123 0.123
Hg2 Hg 0.373 0.373 0.373
Hg3 Hg 0.627 0.627 0.627
Hg4 Hg 0.877 0.877 0.877
```

=====

The following is a DFT calculation (PBE) of a relaxed PmHoThHg crystal.

Output
Mass density = 10.7 Mg/m³
Total energy = -16.92 eV per cell
E_form = 3.2 kJ per mole of atoms

The structure in CIF format:
```
data_PmHoThHg
_cell_length_a 5.462
_cell_length_b 5.462
_cell_length_c 5.462
_cell_angle_alpha 60.00
_cell_angle_beta 60.00
_cell_angle_gamma 60.00
_symmetry_space_group_name_H-M 'P 1'
_symmetry_Int_Tables_number 1
loop_
_symmetry_equiv_pos_as_xyz
'x,y,z'
loop_
_atom_site_label
_atom_site_type_symbol
_atom_site_fract_x
_atom_site_fract_y
_atom_site_fract_z
Pm1 Pm 0.000 0.000 0.000
Ho1 Ho 0.750 0.750 0.750
Th1 Th 0.250 0.250 0.250
Hg1 Hg 0.500 0.500 0.500
```

=====

The following is a DFT calculation (PBE) of a relaxed Pm2HoTlHg4 crystal.

Output
Mass density = 11.5 Mg/m³
Total energy = -21.02 eV per cell
E_form = -40.6 kJ per mole of atoms

The structure in CIF format:
```
data_Pm2HoTlHg4
_cell_length_a 9.382
_cell_length_b 9.382
_cell_length_c 9.382
_cell_angle_alpha 32.48
_cell_angle_beta 32.48
_cell_angle_gamma 32.48
_symmetry_space_group_name_H-M 'P 1'
_symmetry_Int_Tables_number 1
loop_
_symmetry_equiv_pos_as_xyz
'x,y,z'
loop_
_atom_site_label
_atom_site_type_symbol
_atom_site_fract_x
_atom_site_fract_y
_atom_site_fract_z
Pm1 Pm 0.242 0.242 0.242
Pm2 Pm 0.758 0.758 0.758
Ho1 Ho 0.000 0.000 0.000
Tl1 Tl 0.500 0.500 0.500
Hg1 Hg 0.118 0.118 0.118
Hg2 Hg 0.366 0.366 0.366
Hg3 Hg 0.634 0.634 0.634
Hg4 Hg 0.882 0.882 0.882
```

=====

The following is a DFT calculation (PBE) of a relaxed PmHo2TmHg4 crystal.

Output
Mass density = 11.6 Mg/m³
Total energy = -23.36 eV per cell
E_form = -45.5 kJ per mole of atoms

The structure in CIF format:
```
data_PmHo2TmHg4
_cell_length_a 9.159
_cell_length_b 9.159
_cell_length_c 9.159
_cell_angle_alpha 33.39
_cell_angle_beta 33.39
_cell_angle_gamma 33.39
_symmetry_space_group_name_H-M 'P 1'
_symmetry_Int_Tables_number 1
loop_
_symmetry_equiv_pos_as_xyz
'x,y,z'
loop_
_atom_site_label
_atom_site_type_symbol
_atom_site_fract_x
_atom_site_fract_y
_atom_site_fract_z
Pm1 Pm 0.000 0.000 0.000
Ho1 Ho 0.249 0.249 0.249
Ho2 Ho 0.751 0.751 0.751
Tm1 Tm 0.500 0.500 0.500
Hg1 Hg 0.127 0.127 0.127
Hg2 Hg 0.377 0.377 0.377
Hg3 Hg 0.623 0.623 0.623
Hg4 Hg 0.873 0.873 0.873
```

=====

The following is a DFT calculation (PBE) of a relaxed PmHoZnHg crystal.

Output
ΔE to the lowest computed polymorph = 0.026 eV per atom
Mass density = 9.5 Mg/m³
Total energy = -12.43 eV per cell
E_form = -36.7 kJ per mole of atoms

The structure in CIF format:
```
data_PmHoZnHg
_cell_length_a 5.225
_cell_length_b 5.225
_cell_length_c 5.225
_cell_angle_alpha 60.00
_cell_angle_beta 60.00
_cell_angle_gamma 60.00
_symmetry_space_group_name_H-M 'P 1'
_symmetry_Int_Tables_number 1
loop_
_symmetry_equiv_pos_as_xyz
'x,y,z'
loop_
_atom_site_label
_atom_site_type_symbol
_atom_site_fract_x
_atom_site_fract_y
_atom_site_fract_z
Pm1 Pm 0.000 0.000 0.000
Ho1 Ho 0.500 0.500 0.500
Zn1 Zn 0.250 0.250 0.250
Hg1 Hg 0.750 0.750 0.750
```